Density functional theory data (PBE) for crystalline Ac2PuN4 at its relaxed geometry.

Output
The calculation puts the total energy at -9.10 eV per atom.

a b c (Å): 4.2331 4.2331 13.2964
angles (deg): 90.00 90.00 90.00
With the nearest neighbours (Å) after each atom.
Space group I4/mmm (No. 139)
Unique sites:
Ac 0.0000 0.0000 0.1462 [4 per cell]  1 N 2.53
Pu 0.0000 0.0000 0.5000 [2 per cell]  6 N 2.12-2.17
N 0.0000 0.0000 0.3365 [4 per cell]  1 Pu 2.17
N 0.0000 0.5000 0.0000 [4 per cell]  2 Pu 2.12